No. 1
DFT (GGA-PBE) results for a geometry-optimized Cd7SiN6 structure.

Properties
calculated volume = 412.2 Å³/cell
E_tot = -114.37 eV for the cell shown
spin magnetization = 0.00 μB per formula unit
formation energy (no corrections) = 0.3284 eV per atom
DOS(E_F) = 7.74 states/eV per cell

abc: 5.929 5.929 13.501
angles: 90.00 90.00 119.71
Sites, in units of the cell vectors:
Cd  0.593  0.593  0.250
Cd  0.252  0.252  0.466
Cd  0.748  0.748  0.534
Cd  0.407  0.407  0.750
Cd  0.020  0.582  0.121
Cd  0.582  0.020  0.121
Cd  0.418  0.980  0.879
Cd  0.748  0.748  0.966
Cd  0.980  0.418  0.621
Cd  0.020  0.582  0.379
Cd  0.252  0.252  0.034
Cd  0.418  0.980  0.621
Cd  0.980  0.418  0.879
Cd  0.582  0.020  0.379
Si  0.108  0.108  0.250
Si  0.892  0.892  0.750
N  0.931  0.931  0.357
N  0.427  0.150  0.250
N  0.573  0.850  0.750
N  0.669  0.331  0.500
N  0.150  0.427  0.250
N  0.669  0.331  0.000
N  0.850  0.573  0.750
N  0.331  0.669  0.000
N  0.069  0.069  0.643
N  0.331  0.669  0.500
N  0.069  0.069  0.857
N  0.931  0.931  0.143


No. 2
DFT (GGA-PBE) results for a geometry-optimized Cd2SiN2 structure.

Properties
calculated volume = 91.7 Å³/cell
E_tot = -20.89 eV for the cell shown
spin magnetization = 0.00 μB per formula unit
formation energy (no corrections) = 0.6034 eV per atom
DOS(E_F) = 1.39 states/eV per cell

abc: 4.929 4.929 5.138
angles: 61.34 61.34 90.00
Sites, in units of the cell vectors:
N  0.575  0.575  0.849
N  0.425  0.425  0.151
Cd  0.750  0.250  0.500
Cd  0.250  0.750  0.500
Si  0.000  0.000  0.000


No. 3
DFT (GGA-PBE) results for a geometry-optimized CdSiSnN2 structure.

Properties
calculated volume = 95.0 Å³/cell
E_tot = -19.57 eV for the cell shown
spin magnetization = 0.00 μB per formula unit
formation energy (no corrections) = 1.4842 eV per atom
DOS(E_F) = 3.14 states/eV per cell

abc: 4.109 5.627 4.109
angles: 90.00 90.00 90.00
Sites, in units of the cell vectors:
Sn  0.000  0.000  0.000
Si  0.000  0.500  0.000
N  0.500  0.000  0.000
N  0.000  0.000  0.500
Cd  0.500  0.500  0.500


No. 4
DFT (GGA-PBE) results for a geometry-optimized CdSiTe2N structure.

Properties
calculated volume = 111.2 Å³/cell
E_tot = -20.23 eV for the cell shown
spin magnetization = 0.00 μB per formula unit
formation energy (no corrections) = 0.1435 eV per atom
DOS(E_F) = 1.30 states/eV per cell

abc: 5.836 5.836 3.266
angles: 90.00 90.00 90.00
Sites, in units of the cell vectors:
N  0.000  0.000  0.500
Te  0.500  0.000  0.000
Te  0.000  0.500  0.000
Cd  0.500  0.500  0.500
Si  0.000  0.000  0.000